Below is Ca3La2Sn4 after structural relaxation, with properties calculated at the PBE level.

It has space group Cmce (No. 64), with a = 7.039 Å, b = 17.514 Å, c = 9.241 Å, α = 90.00°, β = 90.00° and γ = 90.00°. The inequivalent atoms are Ca at (0.000, 0.000, 0.000), Ca at (0.250, 0.208, 0.250), La at (0.000, 0.111, 0.589), Sn at (0.000, 0.184, 0.945) and Sn at (0.250, 0.032, 0.250).

The calculated total energy comes out at -147.38 eV per cell.